Record 1
# GGA-PBE GdThMo, relaxed
data_GdThMo
_chemical_formula_sum 'Gd4 Th4 Mo4'
_cell_length_a 6.9688
_cell_length_b 6.9688
_cell_length_c 6.9688
_cell_angle_alpha 90.00
_cell_angle_beta 90.00
_cell_angle_gamma 90.00
_space_group_name_H-M_alt 'F -4 3 m'
_space_group_IT_number 216
_space_group_name_Hall 'F -4 2 3'
loop_
_atom_site_label
_atom_site_type_symbol
_atom_site_fract_x
_atom_site_fract_y
_atom_site_fract_z
Gd1 Gd 0.0000 0.0000 0.0000
Th1 Th 0.0000 0.0000 0.5000
Mo1 Mo 0.2500 0.2500 0.2500
# V (Å³/f.u.): 84.61
# E (Ry/atom): -0.531
# ΔE_f (eV per atom): 0.415
# Energy relative to the lowest polymorph listed for this composition (meV/atom): 0

---

Record 2
# GGA-PBE InAgGeSe2S, relaxed
data_InAgGeSe2S
_chemical_formula_sum 'In4 Ag4 Ge4 Se8 S4'
_cell_length_a 3.7847
_cell_length_b 12.8066
_cell_length_c 10.9126
_cell_angle_alpha 90.00
_cell_angle_beta 90.00
_cell_angle_gamma 90.00
_space_group_name_H-M_alt 'C m c m'
_space_group_IT_number 63
_space_group_name_Hall '-C 2c 2'
loop_
_atom_site_label
_atom_site_type_symbol
_atom_site_fract_x
_atom_site_fract_y
_atom_site_fract_z
In1 In 0.0000 0.1720 0.2500
Ag1 Ag 0.0000 0.1462 0.7500
Ge1 Ge 0.0000 0.5000 0.0000
Se1 Se 0.0000 0.1480 0.5125
S1 S 0.0000 0.4795 0.7500
# V (Å³/f.u.): 132.23
# E (Ry/atom): -0.273

---

Record 3
# GGA-PBE AgBrCl, relaxed
data_AgBrCl
_chemical_formula_sum 'Ag2 Br2 Cl2'
_cell_length_a 7.8632
_cell_length_b 3.7100
_cell_length_c 6.7821
_cell_angle_alpha 90.00
_cell_angle_beta 117.59
_cell_angle_gamma 90.00
_space_group_name_H-M_alt 'C 1 m 1'
_space_group_IT_number 8
loop_
_space_group_symop_operation_xyz
'x,y,z'
'x,-y,z'
'x+1/2,y+1/2,z'
'x+1/2,-y+1/2,z'
loop_
_atom_site_label
_atom_site_type_symbol
_atom_site_fract_x
_atom_site_fract_y
_atom_site_fract_z
Ag1 Ag 0.0000 0.0000 0.0000
Br1 Br 0.0080 0.5000 0.7347
Cl1 Cl 0.4919 0.0000 0.2418
# V (Å³/f.u.): 87.68
# E (Ry/atom): -0.176
# Energy relative to the lowest polymorph listed for this composition (meV/atom): 0

---

Record 4
# GGA-PBE PaBi2Mo2, relaxed
data_PaBi2Mo2
_chemical_formula_sum 'Pa2 Bi4 Mo4'
_cell_length_a 4.0674
_cell_length_b 4.0674
_cell_length_c 13.8121
_cell_angle_alpha 90.00
_cell_angle_beta 90.00
_cell_angle_gamma 90.00
_space_group_name_H-M_alt 'I 4/m m m'
_space_group_IT_number 139
_space_group_name_Hall '-I 4 2'
loop_
_atom_site_label
_atom_site_type_symbol
_atom_site_fract_x
_atom_site_fract_y
_atom_site_fract_z
Pa1 Pa 0.0000 0.0000 0.0000
Bi1 Bi 0.0000 0.0000 0.3893
Mo1 Mo 0.0000 0.5000 0.2500
# V (Å³/f.u.): 114.25
# E (Ry/atom): -0.535

---

Record 5
# GGA-PBE FeCu4BiPbS6, relaxed
data_FeCu4BiPbS6
_chemical_formula_sum 'Fe2 Cu8 Bi2 Pb2 S12'
_cell_length_a 3.8842
_cell_length_b 10.7919
_cell_length_c 12.0468
_cell_angle_alpha 90.00
_cell_angle_beta 90.00
_cell_angle_gamma 90.00
_space_group_name_H-M_alt 'P m c 21'
_space_group_IT_number 26
loop_
_space_group_symop_operation_xyz
'x,y,z'
'-x,-y,z+1/2'
'-x,y,z'
'x,-y,z+1/2'
loop_
_atom_site_label
_atom_site_type_symbol
_atom_site_fract_x
_atom_site_fract_y
_atom_site_fract_z
Fe1 Fe 0.0000 0.2066 0.0000
Cu1 Cu 0.0000 0.0161 0.3925
Cu2 Cu 0.5000 0.1209 0.1551
Cu3 Cu 0.5000 0.2873 0.8592
Cu4 Cu 0.5000 0.4804 0.5928
Bi1 Bi 0.0000 0.3466 0.3123
Pb1 Pb 0.5000 0.1929 0.5971
S1 S 0.0000 0.0215 0.0863
S2 S 0.0000 0.1804 0.8128
S3 S 0.0000 0.3878 0.5265
S4 S 0.5000 0.1329 0.3479
S5 S 0.5000 0.3092 0.0538
S6 S 0.5000 0.4813 0.7817
# V (Å³/f.u.): 252.49
# E (Ry/atom): -0.337

---

Record 6
# GGA-PBE PrInTe, relaxed
data_PrInTe
_chemical_formula_sum 'Pr4 In4 Te4'
_cell_length_a 7.4727
_cell_length_b 7.4727
_cell_length_c 7.4727
_cell_angle_alpha 90.00
_cell_angle_beta 90.00
_cell_angle_gamma 90.00
_space_group_name_H-M_alt 'F -4 3 m'
_space_group_IT_number 216
_space_group_name_Hall 'F -4 2 3'
loop_
_atom_site_label
_atom_site_type_symbol
_atom_site_fract_x
_atom_site_fract_y
_atom_site_fract_z
Pr1 Pr 0.0000 0.0000 0.0000
In1 In 0.0000 0.0000 0.5000
Te1 Te 0.2500 0.2500 0.7500
# V (Å³/f.u.): 104.32
# E (Ry/atom): -0.298